Compound: Ca2ReW
Source: Alexandria
Functional: PBE
Structure: relaxed

abc: 2.7965 2.7965 10.2950
angles: 90.00 90.00 99.94
Fractional positions:
Ca1 0.0000 0.0000 0.4947
Re1 0.5000 0.5000 0.2500
Ca2 0.0000 0.0000 0.0053
W1 0.5000 0.5000 0.7500

## Properties
Energy above the most stable polymorph in this dataset (meV per atom): 513.3
Formation energy from the elements (eV/atom): 0.887